The following is a DFT calculation (GGA-PBEsol) of an optimized crystal structure of Ta6Si7Ni16.

a = 11.1170 Å, b = 11.1170 Å, c = 11.1170 Å
α = 90.00°, β = 90.00°, γ = 90.00°
Last column: nearest neighbours and their distance in Å.
Space group Fm-3m (No. 225)
Unique sites:
Ta (0.0000, 0.0000, 0.2032) (multiplicity 24)  8 Ni 2.66-2.72, 4 Si 2.83
Si (0.0000, 0.0000, 0.5000) (multiplicity 4)  8 Ni 2.25
Si (0.0000, 0.2500, 0.2500) (multiplicity 24)  8 Ni 2.27-2.46
Ni (0.1168, 0.1168, 0.3832) (multiplicity 32)  4 Si 2.25-2.46
Ni (0.1674, 0.1674, 0.1674) (multiplicity 32)  3 Si 2.27, 3 Ni 2.53

Computed properties:
Crystal system = cubic
Theoretical density = 10.74 Mg/m³
E = -8.053 eV per atom